Density functional theory data (PBEsol) for Mg30AlZnO32 after structural relaxation.

## Properties
* calculated total energy: -6.1875 eV/atom
* magnetization: 0.000 μB per atom
* Fermi-level density of states: 0.0398 states/eV/atom
* symmetry: P4/mmm (123)

abc: 8.464 8.464 8.459
angles: 90.00 90.00 90.00
Fractional positions:
Mg  0.000  0.000  0.000
Mg  0.000  0.249  0.250
Mg  0.000  0.249  0.750
Mg  0.000  0.500  0.000
Mg  0.000  0.500  0.500
Mg  0.000  0.751  0.250
Mg  0.000  0.751  0.750
Mg  0.249  0.000  0.250
Mg  0.249  0.000  0.750
Mg  0.249  0.249  0.000
Mg  0.249  0.249  0.500
Mg  0.249  0.500  0.249
Mg  0.249  0.500  0.751
Mg  0.249  0.751  0.000
Mg  0.249  0.751  0.500
Mg  0.500  0.000  0.000
Mg  0.500  0.000  0.500
Mg  0.500  0.249  0.249
Mg  0.500  0.249  0.751
Mg  0.500  0.500  0.000
Mg  0.500  0.751  0.249
Mg  0.500  0.751  0.751
Mg  0.751  0.000  0.250
Mg  0.751  0.000  0.750
Mg  0.751  0.249  0.000
Mg  0.751  0.249  0.500
Mg  0.751  0.500  0.249
Mg  0.751  0.500  0.751
Mg  0.751  0.751  0.000
Mg  0.751  0.751  0.500
Al  0.500  0.500  0.500
Zn  0.000  0.000  0.500
O  0.000  0.000  0.244
O  0.000  0.000  0.756
O  0.000  0.252  0.000
O  0.000  0.260  0.500
O  0.000  0.500  0.251
O  0.000  0.500  0.749
O  0.000  0.740  0.500
O  0.000  0.748  0.000
O  0.251  0.251  0.250
O  0.251  0.251  0.750
O  0.251  0.749  0.250
O  0.251  0.749  0.750
O  0.252  0.000  0.000
O  0.253  0.500  0.000
O  0.260  0.000  0.500
O  0.267  0.500  0.500
O  0.500  0.000  0.251
O  0.500  0.000  0.749
O  0.500  0.253  0.000
O  0.500  0.267  0.500
O  0.500  0.500  0.264
O  0.500  0.500  0.736
O  0.500  0.733  0.500
O  0.500  0.747  0.000
O  0.733  0.500  0.500
O  0.740  0.000  0.500
O  0.747  0.500  0.000
O  0.748  0.000  0.000
O  0.749  0.251  0.250
O  0.749  0.251  0.750
O  0.749  0.749  0.250
O  0.749  0.749  0.750